(1)
Density functional theory data (PBEsol) for a relaxed structure of MgTiNb2Pb4O12.

Summary:
As for the raw formation energy: -204.5 kJ/mol of atoms. Its excess energy over the best structure of this formula in the dataset is 0.00 eV per formula unit.

a = 8.1148 Å, b = 8.1384 Å, c = 9.8015 Å
α = 114.14°, β = 114.33°, γ = 90.54°
Space group P1 (No. 1)
One atom of each set of equivalent atoms:
Mg1 0.0000 0.0000 0.0000
Mg2 0.2480 0.7485 0.4992
Ti1 0.4899 0.5103 0.0006
Ti2 0.7383 0.2584 0.4996
Nb1 0.2387 0.2485 0.5023
Nb2 0.4987 0.0085 0.9982
Nb3 0.7526 0.7611 0.4976
Nb4 0.9878 0.4956 0.0009
Pb1 0.1071 0.1496 0.7703
Pb2 0.1114 0.6562 0.7629
Pb3 0.3426 0.8911 0.2533
Pb4 0.3580 0.4020 0.2641
Pb5 0.5934 0.1344 0.7392
Pb6 0.6105 0.6562 0.7504
Pb7 0.8561 0.8981 0.2339
Pb8 0.8653 0.4059 0.2687
O1 0.0103 0.2330 0.5112
O2 0.0106 0.7230 0.9812
O3 0.0265 0.2511 0.9990
O4 0.1292 0.0938 0.2557
O5 0.1534 0.6183 0.2407
O6 0.2475 0.4742 0.4810
O7 0.2505 0.4752 0.9715
O8 0.2656 0.9809 0.0048
O9 0.2927 0.0063 0.5134
O10 0.3844 0.8461 0.7549
O11 0.4098 0.3717 0.7529
O12 0.5020 0.2335 0.9823
O13 0.5069 0.2417 0.4869
O14 0.5149 0.7398 0.0141
O15 0.5166 0.7178 0.5030
O16 0.6155 0.5848 0.2398
O17 0.6532 0.1185 0.2527
O18 0.7412 0.9864 0.4851
O19 0.7454 0.9646 0.9940
O20 0.7605 0.4944 0.0130
O21 0.7718 0.4829 0.5001
O22 0.8732 0.3435 0.7404
O23 0.8921 0.8605 0.7404
O24 0.9831 0.7202 0.4736

(2)
Density functional theory data (PBEsol) for a relaxed structure of MgTi3Nb2Pb6O18.

Summary:
As for the raw formation energy: -209.2 kJ/mol of atoms.

a = 5.6175 Å, b = 5.6175 Å, c = 13.7949 Å
α = 90.00°, β = 90.00°, γ = 120.00°
Space group P-3m1 (No. 164)
One atom of each set of equivalent atoms:
Mg1 0.0000 0.0000 0.0000
Ti1 0.0000 0.0000 0.5000
Ti2 0.3333 0.6667 0.6624
Nb1 0.3333 0.6667 0.1640
Pb1 0.0000 0.0000 0.2530
Pb2 0.3333 0.6667 0.4204
Pb3 0.3333 0.6667 0.9134
O1 0.0056 0.5028 0.7443
O2 0.1666 0.3332 0.5811
O3 0.1671 0.3342 0.0882

(3)
Density functional theory data (PBEsol) for a relaxed structure of MgNbRu2O.

Summary:
As for the raw formation energy: -18.9 kJ/mol of atoms.

a = 4.1097 Å, b = 4.1097 Å, c = 4.1009 Å
α = 90.00°, β = 90.00°, γ = 90.00°
Space group P4/mmm (No. 123)
One atom of each set of equivalent atoms:
Mg1 0.0000 0.0000 0.0000
Nb1 0.5000 0.5000 0.0000
Ru1 0.0000 0.5000 0.5000
O1 0.5000 0.5000 0.5000

(4)
Density functional theory data (PBEsol) for a relaxed structure of MgTiNb2O.

Summary:
As for the raw formation energy: 42.9 kJ/mol of atoms.

a = 5.0208 Å, b = 5.0208 Å, c = 3.6634 Å
α = 90.00°, β = 90.00°, γ = 90.00°
Space group P4/mmm (No. 123)
One atom of each set of equivalent atoms:
Mg1 0.0000 0.0000 0.0000
Ti1 0.5000 0.5000 0.5000
Nb1 0.0000 0.5000 0.5000
O1 0.5000 0.5000 0.0000

(5)
Density functional theory data (PBEsol) for a relaxed structure of MgNbOs.

Summary:
The calculation puts the formation enthalpy at 0 K at -0.093 eV/atom.

a = 4.5252 Å, b = 4.5252 Å, c = 5.4605 Å
α = 90.00°, β = 90.00°, γ = 120.00°
Space group P-3m1 (No. 164)
One atom of each set of equivalent atoms:
Mg1 0.0000 0.0000 0.0000
Mg2 0.0000 0.0000 0.5000
Nb1 0.3333 0.6667 0.1848
Os1 0.3333 0.6667 0.6935

(6)
Density functional theory data (PBEsol) for a relaxed structure of Mg2NbP.

Summary:
The calculation puts the formation enthalpy at 0 K at 0.585 eV/atom.

a = 6.5887 Å, b = 6.5887 Å, c = 6.5887 Å
α = 90.00°, β = 90.00°, γ = 90.00°
Space group Fm-3m (No. 225)
One atom of each set of equivalent atoms:
Mg1 0.2500 0.2500 0.2500
Nb1 0.0000 0.0000 0.0000
P1 0.0000 0.0000 0.5000